Entry from Alexandria: a relaxed K2CuOs3O12 crystal (PBE).

Geometry as POSCAR:
```
K2CuOs3O12
1.0
3.647 2.106 5.761
-3.647 2.106 5.761
0.000 -4.212 5.761
K Cu Os O
2 1 3 12
direct
0.121 0.121 0.121
0.879 0.879 0.879
0.500 0.500 0.500
0.000 0.500 0.500
0.500 0.000 0.500
0.500 0.500 0.000
0.168 0.570 0.570
0.185 0.185 0.571
0.185 0.571 0.185
0.429 0.815 0.815
0.430 0.430 0.832
0.430 0.832 0.430
0.570 0.168 0.570
0.570 0.570 0.168
0.571 0.185 0.185
0.815 0.429 0.815
0.815 0.815 0.429
0.832 0.430 0.430
```

Properties
**Total DFT energy (no corrections)**: -119.20 eV per cell
**Space group**: R-3m

***

Entry from Alexandria: a relaxed K2CuOsO crystal (PBE).

Geometry as POSCAR:
```
K2CuOsO
1.0
6.188 0.000 0.000
0.000 6.188 0.000
0.000 0.000 4.694
K Cu Os O
2 1 1 1
direct
0.000 0.500 0.000
0.500 0.000 0.000
0.000 0.000 0.500
0.000 0.000 0.000
0.500 0.500 0.500
```

Properties
**Total DFT energy (no corrections)**: -16.13 eV per cell
**Space group**: P4/mmm

***

Entry from Alexandria: a relaxed K3CuOs2O8 crystal (PBE).

Geometry as POSCAR:
```
K3CuOs2O8
1.0
5.857 0.000 0.000
-2.928 5.072 0.000
0.000 0.000 7.704
K Cu Os O
3 1 2 8
direct
0.000 0.000 0.000
0.333 0.667 0.651
0.667 0.333 0.349
0.000 0.000 0.500
0.333 0.667 0.220
0.667 0.333 0.780
0.168 0.337 0.321
0.168 0.832 0.321
0.333 0.667 0.989
0.337 0.168 0.679
0.663 0.832 0.321
0.667 0.333 0.011
0.832 0.168 0.679
0.832 0.663 0.679
```

Properties
**Total DFT energy (no corrections)**: -85.12 eV per cell
**Space group**: P-3m1

***

Entry from Alexandria: a relaxed KCuOsO4 crystal (PBE).

Geometry as POSCAR:
```
KCuOsO4
1.0
-3.016 3.016 3.549
3.016 -3.016 3.549
3.016 3.016 -3.549
K Cu Os O
1 1 1 4
direct
0.000 0.000 0.000
0.500 0.500 0.000
0.250 0.750 0.500
0.218 0.094 0.655
0.437 0.782 0.875
0.439 0.563 0.345
0.906 0.561 0.125
```

Properties
**Total DFT energy (no corrections)**: -43.20 eV per cell
**Space group**: I-4